(1)
This record from the Alexandria database describes Rb2ZrCdTe4 after structural relaxation. The functional is GGA-PBE.

The structure in POSCAR format:
```
Rb2ZrCdTe4
1.0
-0.026 -3.906 -5.429
1.331 -8.083 1.690
-13.239 -3.834 -1.298
Rb Te Cd Zr
4 8 2 2
Direct
0.932 0.500 0.136
0.818 0.000 0.364
0.568 0.500 0.864
0.182 0.000 0.636
0.285 0.787 0.117
0.929 0.787 0.883
0.465 0.713 0.383
0.598 0.213 0.117
0.562 0.287 0.617
0.821 0.713 0.617
0.188 0.213 0.883
0.152 0.287 0.383
0.250 0.500 0.500
0.500 0.000 0.000
0.000 0.000 0.000
0.750 0.500 0.500
```

Properties
Space group: No. 70
VASP energy (Ha/atom): -0.142
Volume (Å³/atom): 43.1

***

(2)
This record from the Alexandria database describes RbThCd17 after structural relaxation. The functional is GGA-PBE.

The structure in POSCAR format:
```
RbThCd17
1.0
-0.161 3.261 -7.069
-7.710 0.958 -0.529
-0.284 7.437 2.291
Cd Th Rb
17 1 1
Direct
0.294 0.002 0.702
0.106 0.106 0.106
0.908 0.908 0.908
0.985 0.985 0.516
0.189 0.627 0.627
0.002 0.294 0.702
0.702 0.002 0.294
0.627 0.627 0.189
0.985 0.516 0.985
0.627 0.189 0.627
0.002 0.702 0.294
0.870 0.349 0.349
0.349 0.349 0.870
0.349 0.870 0.349
0.294 0.702 0.002
0.516 0.985 0.985
0.702 0.294 0.002
0.330 0.330 0.330
0.663 0.663 0.663
```

Properties
Space group: No. 160
Volume (Å³/atom): 24.2
Formation energy (meV/atom): -55

***

no.,magnetic moment (μB per formula unit)
1,0.00
2,0.00